This record from Alexandria via LeMat-Bulk describes La2NdSe3 after structural relaxation. The functional is PBE-GGA.

Unit cell a=8.6262 b=12.1233 c=25.5412 alpha=90.00 beta=90.00 gamma=90.00
Space group Fddd (No. 70, origin choice 2)
Inequivalent atoms, fractional coordinates:
1 La 0.1250 0.1250 0.0419
2 La 0.1250 0.1250 0.3748
3 Nd 0.1250 0.1250 0.5416
4 Se 0.1214 0.3750 0.8750
5 Se 0.1233 0.3734 0.7089

* VASP energy: -6.131 eV/atom
* formation energy (no corrections): -188.3 kJ per mole of atoms
* energy relative to the lowest polymorph listed for this composition: 0 meV/atom